The following is a DFT calculation (PBE) of an optimized crystal structure of NaCaTlPt.

E_form ... -0.378 eV per atom
ρ ... 8.6 g/cm3
Density of states at the Fermi level ... 0.633 states/eV/atom

Lattice parameters (Å, degrees): 5.021 5.021 5.021 60.00 60.00 60.00
Positions (direct):
Na  0.000  0.000  0.000
Tl  0.750  0.750  0.750
Ca  0.250  0.250  0.250
Pt  0.500  0.500  0.500

---

The following is a DFT calculation (PBE) of an optimized crystal structure of NaCaVPt2.

E_form ... 1.199 eV per atom
ρ ... 7.0 g/cm3
Density of states at the Fermi level ... 1.131 states/eV/atom

Lattice parameters (Å, degrees): 5.073 4.653 5.073 90.00 90.00 90.00
Each line ends with the local moment (μB).
Positions (direct):
Na  0.000  0.500  0.000  0.00
Ca  0.000  0.000  0.000  0.01
Pt  0.000  0.000  0.500  -0.05
Pt  0.500  0.000  0.000  -0.07
V  0.500  0.500  0.500  0.07

---

The following is a DFT calculation (PBE) of an optimized crystal structure of NaCaYPt2.

E_form ... 0.393 eV per atom
ρ ... 7.5 g/cm3
Density of states at the Fermi level ... 0.928 states/eV/atom

Lattice parameters (Å, degrees): 5.004 4.776 5.004 90.00 90.00 90.00
Positions (direct):
Y  0.000  0.500  0.000
Na  0.000  0.000  0.000
Ca  0.500  0.500  0.500
Pt  0.000  0.000  0.500
Pt  0.500  0.000  0.000

---

- The highest ρ belongs to which entry?
  NaCaTlPt

---

- Which value of ρ does entry 2 give?
  7.0 g/cm3

---

- ρ of number 2 (NaCaVPt2)?
  7.0 g/cm3